[1]
A geometry-optimized CuAg structure. Source: OQMD via LeMat-Bulk, functional PBE-GGA.

CIF file:
```
data_CuAg
_chemical_formula_sum 'Cu6 Ag6'
_cell_length_a 2.804
_cell_length_b 2.804
_cell_length_c 27.016
_cell_angle_alpha 90.00
_cell_angle_beta 90.00
_cell_angle_gamma 120.00
_symmetry_space_group_name_H-M 'P 1'
_symmetry_Int_Tables_number 1
_symmetry_space_group_name_Hall 'P 1'
loop_
_atom_site_label
_atom_site_fract_x
_atom_site_fract_y
_atom_site_fract_z
Cu1 0.000 0.000 0.000
Cu2 0.000 0.000 0.216
Cu3 0.333 0.667 0.072
Cu4 0.333 0.667 0.289
Cu5 0.667 0.333 0.144
Cu6 0.667 0.333 0.360
Ag1 0.000 0.000 0.627
Ag2 0.000 0.000 0.904
Ag3 0.333 0.667 0.443
Ag4 0.333 0.667 0.719
Ag5 0.667 0.333 0.535
Ag6 0.667 0.333 0.811
```

Calculated density   9.284 g/cm3
Uncorrected energy   -37.98 eV per cell


[2]
A geometry-optimized Cu4Ag5 structure. Source: OQMD via LeMat-Bulk, functional PBE-GGA.

CIF file:
```
data_Cu4Ag5
_chemical_formula_sum 'Cu4 Ag5'
_cell_length_a 4.876
_cell_length_b 4.876
_cell_length_c 11.347
_cell_angle_alpha 112.40
_cell_angle_beta 112.40
_cell_angle_gamma 33.89
_symmetry_space_group_name_H-M 'P 1'
_symmetry_Int_Tables_number 1
_symmetry_space_group_name_Hall 'P 1'
loop_
_atom_site_label
_atom_site_fract_x
_atom_site_fract_y
_atom_site_fract_z
Cu1 0.172 0.172 0.397
Cu2 0.174 0.174 0.051
Cu3 0.826 0.826 0.949
Cu4 0.828 0.828 0.603
Ag1 0.173 0.173 0.727
Ag2 0.497 0.497 0.841
Ag3 0.500 0.500 0.500
Ag4 0.503 0.503 0.159
Ag5 0.827 0.827 0.273
```

Calculated density   9.550 g/cm3
Uncorrected energy   -28.11 eV per cell


[3]
A geometry-optimized Cu7Ag2 structure. Source: OQMD via LeMat-Bulk, functional PBE-GGA.

CIF file:
```
data_Cu7Ag2
_chemical_formula_sum 'Cu7 Ag2'
_cell_length_a 4.577
_cell_length_b 4.577
_cell_length_c 10.938
_cell_angle_alpha 112.30
_cell_angle_beta 112.30
_cell_angle_gamma 34.40
_symmetry_space_group_name_H-M 'P 1'
_symmetry_Int_Tables_number 1
_symmetry_space_group_name_Hall 'P 1'
loop_
_atom_site_label
_atom_site_fract_x
_atom_site_fract_y
_atom_site_fract_z
Cu1 0.000 0.000 0.000
Cu2 0.231 0.231 0.898
Cu3 0.310 0.310 0.308
Cu4 0.462 0.462 0.798
Cu5 0.538 0.538 0.202
Cu6 0.690 0.690 0.692
Cu7 0.769 0.769 0.102
Ag1 0.099 0.099 0.431
Ag2 0.901 0.901 0.569
```

Calculated density   9.234 g/cm3
Uncorrected energy   -31.10 eV per cell


What is the formula in the first record?
CuAg